Record 1
## Mn5C (PBE)

Data for crystalline Mn5C at its relaxed geometry.

Lattice parameters (Å, degrees): 4.1802 4.1802 3.8694 90.00 90.00 120.00
Last column: nearest neighbours and their distance in Å.
Space group P-62m (No. 189)
One atom of each set of equivalent atoms:
Mn (0.0000, 0.6895, 0.0000) [3 per cell]  10 Mn 2.25-2.50, 2 C 2.33
Mn (0.3333, 0.6667, 0.5000) [2 per cell]  3 C 2.41, 9 Mn 2.41
C (0.0000, 0.0000, 0.5000) [1 per cell]  12 Mn 2.33-2.41

As for the excess energy over the best structure of this formula in the dataset: 2.125 eV/f.u. For the formation energy, the calculation gives 429.0 meV/atom. Its total magnetic moment is 0.000 μB per formula unit. Its total energy is -8.7496 eV per atom.

***

Record 2
## MnC (PBE)

Data for crystalline MnC at its relaxed geometry.

Lattice parameters (Å, degrees): 6.8070 6.8070 3.6352 90.00 90.00 90.00
Last column: nearest neighbours and their distance in Å.
Space group I4/m (No. 87)
One atom of each set of equivalent atoms:
Mn (0.1507, 0.3460, 0.0000) [8 per cell]  4 C 1.79-1.93
C (0.1001, 0.7309, 0.0000) [8 per cell]  4 Mn 1.79-1.93

For the formation energy, the calculation gives 285.0 meV/atom. Its total magnetic moment is 0.000 μB per formula unit. Its total energy is -8.9117 eV per atom.

***

Record 3
## MnC (PBE)

Data for crystalline MnC at its relaxed geometry.

Lattice parameters (Å, degrees): 4.8476 4.8476 2.6405 90.00 90.00 120.00
Last column: nearest neighbours and their distance in Å.
Space group P-62m (No. 189)
One atom of each set of equivalent atoms:
Mn (0.0000, 0.3841, 0.0000) [3 per cell]  5 C 1.86-2.00
C (0.0000, 0.0000, 0.0000) [1 per cell]  3 Mn 1.86
C (0.3333, 0.6667, 0.5000) [2 per cell]  6 Mn 2.00

For the formation energy, the calculation gives 353.2 meV/atom. Its total magnetic moment is 0.965 μB per formula unit. Its total energy is -8.8435 eV per atom.

***

Record 4
## MnC2 (PBE)

Data for crystalline MnC2 at its relaxed geometry.

Lattice parameters (Å, degrees): 2.5436 6.1653 7.8211 90.00 90.00 90.00
Last column: nearest neighbours and their distance in Å.
Space group Fmmm (No. 69)
One atom of each set of equivalent atoms:
Mn (0.0000, 0.0000, 0.0000) [4 per cell]  6 C 2.08-2.26
C (0.0000, 0.0000, 0.2888) [8 per cell]  2 C 1.41

As for the excess energy over the best structure of this formula in the dataset: 0.620 eV/f.u. For the formation energy, the calculation gives 712.5 meV/atom. Its total magnetic moment is 3.065 μB per formula unit. Its total energy is -8.4933 eV per atom.

***

Record 5
## Mn3C (PBE)

Data for crystalline Mn3C at its relaxed geometry.

Lattice parameters (Å, degrees): 3.7852 4.4910 4.4109 90.00 90.00 90.00
Last column: nearest neighbours and their distance in Å.
Space group Pmmn (No. 59, origin choice 2)
One atom of each set of equivalent atoms:
Mn (0.2500, 0.0111, 0.1832) [4 per cell]  5 Mn 2.15-2.35, 3 C 2.20-2.37
Mn (0.2500, 0.2500, 0.6545) [2 per cell]  4 C 2.21-2.26, 6 Mn 2.34
C (0.2500, 0.7500, 0.6053) [2 per cell]  10 Mn 2.20-2.37

For the formation energy, the calculation gives 578.9 meV/atom. Its total magnetic moment is 0.000 μB per formula unit. Its total energy is -8.6042 eV per atom.

***

Record 6
## Mn3C (PBE)

Data for crystalline Mn3C at its relaxed geometry.

Lattice parameters (Å, degrees): 6.8963 8.3505 2.6392 90.00 90.00 90.00
Last column: nearest neighbours and their distance in Å.
Space group Cmcm (No. 63)
One atom of each set of equivalent atoms:
Mn (0.0000, 0.1173, 0.2500) [4 per cell]  2 C 1.99
Mn (0.1912, 0.3667, 0.2500) [8 per cell]  2 C 1.96
C (0.0000, 0.2958, 0.7500) [4 per cell]  6 Mn 1.96-1.99

For the formation energy, the calculation gives 75.6 meV/atom. Its total magnetic moment is 0.000 μB per formula unit. Its total energy is -9.1075 eV per atom.

***

Record 7
## MnC2 (PBE)

Data for crystalline MnC2 at its relaxed geometry.

Lattice parameters (Å, degrees): 2.5387 2.8259 3.3974 90.00 90.00 90.00
Last column: nearest neighbours and their distance in Å.
Space group Pmm2 (No. 25)
One atom of each set of equivalent atoms:
Mn (0.0000, 0.0000, 0.0000) [1 per cell]  8 C 2.16-2.26
C (0.0000, 0.5000, 0.4813) [1 per cell]  2 C 1.47
C (0.5000, 0.5000, 0.7002) [1 per cell]  2 C 1.47

As for the excess energy over the best structure of this formula in the dataset: 0.450 eV/f.u. For the formation energy, the calculation gives 655.7 meV/atom. Its total magnetic moment is 2.330 μB per formula unit. Its total energy is -8.5501 eV per atom.

***

Record 8
## Mn5C4 (PBE)

Data for crystalline Mn5C4 at its relaxed geometry.

Lattice parameters (Å, degrees): 8.8513 8.8513 2.7682 90.00 90.00 90.00
Last column: nearest neighbours and their distance in Å.
Space group I4/mmm (No. 139)
One atom of each set of equivalent atoms:
Mn (0.0000, 0.0000, 0.0000) [2 per cell]  4 C 1.93
Mn (0.1576, 0.1576, 0.5000) [8 per cell]  4 C 2.04
C (0.0000, 0.2179, 0.0000) [8 per cell]  5 Mn 1.93-2.04

As for the excess energy over the best structure of this formula in the dataset: 3.672 eV/f.u. For the formation energy, the calculation gives 684.3 meV/atom. Its total magnetic moment is 8.092 μB per formula unit. Its total energy is -8.5094 eV per atom.

***

Record 9
## Mn5C4 (PBE)

Data for crystalline Mn5C4 at its relaxed geometry.

Lattice parameters (Å, degrees): 5.6852 5.6852 5.4864 90.00 90.00 120.00
Last column: nearest neighbours and their distance in Å.
Space group P6_3/mcm (No. 193)
One atom of each set of equivalent atoms:
Mn (0.0000, 0.2472, 0.2500) [6 per cell]  5 C 1.93-2.05
Mn (0.3333, 0.6667, 0.0000) [4 per cell]  6 C 2.19
C (0.0000, 0.0000, 0.0000) [2 per cell]  6 Mn 1.96
C (0.0000, 0.4139, 0.7500) [6 per cell]  3 Mn 1.93-2.05

As for the excess energy over the best structure of this formula in the dataset: 0.000 eV/f.u. For the formation energy, the calculation gives 276.3 meV/atom. Its total magnetic moment is 6.058 μB per formula unit. Its total energy is -8.9174 eV per atom.

***

Record 10
## MnC2 (PBE)

Data for crystalline MnC2 at its relaxed geometry.

Lattice parameters (Å, degrees): 3.3496 3.3496 8.1058 90.00 90.00 90.00
Last column: nearest neighbours and their distance in Å.
Space group I4_1/amd (No. 141, origin choice 2)
One atom of each set of equivalent atoms:
Mn (0.0000, 0.2500, 0.3750) [4 per cell]  4 C 2.11
C (0.0000, 0.2500, 0.7833) [8 per cell]  1 C 1.49

As for the excess energy over the best structure of this formula in the dataset: 2.431 eV/f.u. For the formation energy, the calculation gives 1316.0 meV/atom. Its total magnetic moment is 1.625 μB per formula unit. Its total energy is -7.8898 eV per atom.

***

Record 11
## MnC2 (PBE)

Data for crystalline MnC2 at its relaxed geometry.

Lattice parameters (Å, degrees): 6.3309 2.6214 3.2371 90.00 97.64 90.00
Last column: nearest neighbours and their distance in Å.
Space group Cm (No. 8)
One atom of each set of equivalent atoms:
Mn (0.0000, 0.0000, 0.0000) [2 per cell]  5 C 1.89-2.03
C (0.2929, 0.0000, 0.2069) [2 per cell]  1 C 1.35
C (0.4467, 0.0000, 0.5382) [2 per cell]  1 C 1.35

As for the excess energy over the best structure of this formula in the dataset: 0.966 eV/f.u. For the formation energy, the calculation gives 827.9 meV/atom. Its total magnetic moment is 0.002 μB per formula unit. Its total energy is -8.3779 eV per atom.

***

Record 12
## MnC2 (PBE)

Data for crystalline MnC2 at its relaxed geometry.

Lattice parameters (Å, degrees): 2.5837 2.5837 25.7093 90.00 90.00 90.00
Last column: nearest neighbours and their distance in Å.
Space group I4_1/amd (No. 141, origin choice 2)
One atom of each set of equivalent atoms:
Mn (0.0000, 0.2500, 0.3135) [8 per cell]  8 C 2.03-2.20
C (0.0000, 0.2500, 0.1244) [8 per cell]  4 C 1.83, 2 Mn 2.03
C (0.0000, 0.2500, 0.7656) [8 per cell]  2 C 1.52

As for the excess energy over the best structure of this formula in the dataset: 1.912 eV/f.u. For the formation energy, the calculation gives 1143.1 meV/atom. Its total magnetic moment is 0.607 μB per formula unit. Its total energy is -8.0627 eV per atom.

***

Record 13
## Mn3C (PBE)

Data for crystalline Mn3C at its relaxed geometry.

Lattice parameters (Å, degrees): 7.2527 7.2527 2.5639 90.00 90.00 120.00
Last column: nearest neighbours and their distance in Å.
Space group R-3m (No. 166, hexagonal axes)
One atom of each set of equivalent atoms:
Mn (0.0000, 0.5000, 0.0000) [9 per cell]  4 Mn 2.26, 2 C 2.26
C (0.0000, 0.0000, 0.0000) [3 per cell]  6 Mn 2.26

For the formation energy, the calculation gives 856.9 meV/atom. Its total magnetic moment is 2.593 μB per formula unit. Its total energy is -8.3262 eV per atom.